(1)
This record from Alexandria describes an optimized crystal structure of PrNdMgAu. The functional is PBE-GGA.

Summary:
- ΔE to the lowest computed polymorph (meV per atom) = 0
- theoretical density (g cm⁻³) = 7.6
- E (eV per atom) = -4.0354
- crystal system = tetragonal
- energy of formation (eV per atom) = -0.4306
- magnetic moment (μB/cell) = 0.000
- density of states at the Fermi level (states/eV per atom) = 0.81

CIF file:
```
data_PrNdMgAu
_cell_length_a 3.836
_cell_length_b 3.836
_cell_length_c 7.480
_cell_angle_alpha 90.00
_cell_angle_beta 90.00
_cell_angle_gamma 90.00
_space_group_name_H-M_alt 'P 4 m m'
_space_group_IT_number 99
_space_group_name_Hall 'P 4 -2'
loop_
_atom_site_label
_atom_site_type_symbol
_atom_site_fract_x
_atom_site_fract_y
_atom_site_fract_z
Pr1 Pr 0.000 0.000 0.000
Nd1 Nd 0.000 0.000 0.472
Mg1 Mg 0.500 0.500 0.734
Au1 Au 0.500 0.500 0.242
```

---

(2)
This record from Alexandria describes an optimized crystal structure of LaPW2. The functional is PBE-GGA.

Summary:
- ΔE to the lowest computed polymorph (meV per atom) = 671
- theoretical density (g cm⁻³) = 11.2
- E (eV per atom) = -8.4578
- crystal system = tetragonal
- energy of formation (eV per atom) = 0.6031
- magnetic moment (μB/cell) = 0.000
- density of states at the Fermi level (states/eV per atom) = 1.36

CIF file:
```
data_LaPW2
_cell_length_a 3.963
_cell_length_b 3.963
_cell_length_c 5.085
_cell_angle_alpha 90.00
_cell_angle_beta 90.00
_cell_angle_gamma 90.00
_space_group_name_H-M_alt 'P 4/m m m'
_space_group_IT_number 123
_space_group_name_Hall '-P 4 2'
loop_
_atom_site_label
_atom_site_type_symbol
_atom_site_fract_x
_atom_site_fract_y
_atom_site_fract_z
La1 La 0.000 0.000 0.000
P1 P 0.500 0.500 0.000
W1 W 0.000 0.500 0.500
```

---

(3)
This record from Alexandria describes an optimized crystal structure of CaMgW2. The functional is PBE-GGA.

Summary:
- theoretical density (g cm⁻³) = 8.3
- E (eV per atom) = -6.3975
- crystal system = tetragonal
- energy of formation (eV per atom) = 0.9781
- magnetic moment (μB/cell) = 0.000
- density of states at the Fermi level (states/eV per atom) = 0.87

CIF file:
```
data_CaMgW2
_cell_length_a 3.588
_cell_length_b 3.588
_cell_length_c 6.684
_cell_angle_alpha 90.00
_cell_angle_beta 90.00
_cell_angle_gamma 90.00
_space_group_name_H-M_alt 'P 4/m m m'
_space_group_IT_number 123
_space_group_name_Hall '-P 4 2'
loop_
_atom_site_label
_atom_site_type_symbol
_atom_site_fract_x
_atom_site_fract_y
_atom_site_fract_z
Ca1 Ca 0.000 0.000 0.000
Mg1 Mg 0.000 0.000 0.500
W1 W 0.500 0.500 0.326
```

---

(4)
This record from Alexandria describes an optimized crystal structure of In2PbBr. The functional is PBE-GGA.

Summary:
- ΔE to the lowest computed polymorph (meV per atom) = 56
- theoretical density (g cm⁻³) = 7.1
- formation energy (no corrections) (meV/atom) = -165
- E (eV per atom) = -2.8796
- crystal system = trigonal
- magnetic moment (μB/cell) = 0.000
- density of states at the Fermi level (states/eV per atom) = 0.36

CIF file:
```
data_In2PbBr
_cell_length_a 3.7461
_cell_length_b 3.7461
_cell_length_c 29.7112
_cell_angle_alpha 90.00
_cell_angle_beta 90.00
_cell_angle_gamma 120.00
_space_group_name_H-M_alt 'R 3 m'
_space_group_IT_number 160
_space_group_name_Hall 'R 3 -2"'
loop_
_atom_site_label
_atom_site_type_symbol
_atom_site_fract_x
_atom_site_fract_y
_atom_site_fract_z
In1 In 0.0000 0.0000 0.0000
In2 In 0.0000 0.0000 0.1750
Pb1 Pb 0.0000 0.0000 0.7557
Br1 Br 0.0000 0.0000 0.5825
```

---

(5)
This record from Alexandria describes an optimized crystal structure of CaMnP2. The functional is PBE-GGA.

Summary:
- ΔE to the lowest computed polymorph (meV per atom) = 581
- theoretical density (g cm⁻³) = 3.6
- E (eV per atom) = -5.6727
- crystal system = monoclinic
- energy of formation (eV per atom) = -0.1750
- magnetic moment (μB/cell) = 8.126
- density of states at the Fermi level (states/eV per atom) = 0.41

CIF file:
```
data_CaMnP2
_cell_length_a 5.983
_cell_length_b 6.815
_cell_length_c 3.544
_cell_angle_alpha 90.00
_cell_angle_beta 91.08
_cell_angle_gamma 90.00
_space_group_name_H-M_alt 'C 1 2/m 1'
_space_group_IT_number 12
_space_group_name_Hall '-C 2y'
loop_
_atom_site_label
_atom_site_type_symbol
_atom_site_fract_x
_atom_site_fract_y
_atom_site_fract_z
Ca1 Ca 0.000 0.000 0.000
Mn1 Mn 0.000 0.500 0.000
P1 P 0.250 0.250 0.500
```

---

(6)
This record from Alexandria describes an optimized crystal structure of KNi2Hg. The functional is PBE-GGA.

Summary:
- theoretical density (g cm⁻³) = 7.8
- E (eV per atom) = -2.4733
- crystal system = tetragonal
- energy of formation (eV per atom) = 0.7672
- magnetic moment (μB/cell) = 1.188
- density of states at the Fermi level (states/eV per atom) = 1.68

CIF file:
```
data_KNi2Hg
_cell_length_a 4.130
_cell_length_b 4.130
_cell_length_c 8.891
_cell_angle_alpha 90.00
_cell_angle_beta 90.00
_cell_angle_gamma 90.00
_space_group_name_H-M_alt 'I -4 m 2'
_space_group_IT_number 119
_space_group_name_Hall 'I -4 -2'
loop_
_atom_site_label
_atom_site_type_symbol
_atom_site_fract_x
_atom_site_fract_y
_atom_site_fract_z
K1 K 0.000 0.000 0.000
Ni1 Ni 0.000 0.000 0.500
Ni2 Ni 0.000 0.500 0.750
Hg1 Hg 0.000 0.500 0.250
```